# 1
Li2HfIrO, relaxed, DFT PBE; electronic total energy = -6.78 eV/atom; crystal system = tetragonal; space group = No. 123
1.0
-2.2648 2.8873 -1.3226
-2.7400 -0.9552 2.6068
1.7693 2.6914 2.8459
Hf Ir O Li
1 1 1 2
Direct
0.0000 0.0000 0.5000
0.5000 0.5000 0.5000
0.0000 0.0000 0.0000
0.5000 0.0000 0.0000
0.0000 0.5000 0.0000

# 2
Ba2NaTe2, relaxed, DFT PBE; electronic total energy = -3.60 eV/atom; crystal system = tetragonal; space group = No. 127
1.0
-6.5397 -3.3015 5.6314
-0.4343 -7.7335 -5.0383
3.2842 -1.9315 2.6816
Ba Te Na
4 4 2
Direct
0.3491 0.1509 0.5000
0.8491 0.3491 0.5000
0.6509 0.8491 0.5000
0.1509 0.6509 0.5000
0.8440 0.6560 0.0000
0.3440 0.8440 0.0000
0.1560 0.3440 0.0000
0.6560 0.1560 0.0000
0.5000 0.5000 0.0000
0.0000 0.0000 0.0000

# 3
NdEuDyEr, relaxed, DFT PBE; formation energy = 0.1503 eV/atom; electronic total energy = -5.90 eV/atom; crystal system = cubic; space group = No. 216
1.0
-0.2093 -4.8381 -3.1470
4.8395 -2.1688 -2.2870
2.2354 -4.9000 2.0850
Eu Er Nd Dy
1 1 1 1
Direct
0.7500 0.7500 0.7500
0.0000 0.0000 0.0000
0.2500 0.2500 0.2500
0.5000 0.5000 0.5000

# 4
AcPrMg6, relaxed, DFT PBE; formation energy = -0.0657 eV/atom; electronic total energy = -2.37 eV/atom; crystal system = orthorhombic; space group = No. 38
1.0
-1.0483 4.5476 -2.3863
0.2185 -3.1634 -6.1245
-6.2286 0.1169 2.9589
Mg Ac Pr
6 1 1
Direct
0.5000 0.9208 0.0792
0.0000 0.6329 0.9491
0.5000 0.8696 0.5586
0.0000 0.0509 0.3671
0.5000 0.4414 0.1304
0.0000 0.5870 0.4130
0.5000 0.3903 0.6097
0.0000 0.1068 0.8932